## UCuPd (PBE)

Data for a geometry-optimized UCuPd structure.

a b c (Å): 6.4684 6.4684 6.4684
angles (deg): 90.00 90.00 90.00
Last column: nearest neighbours and their distance in Å.
Space group F-43m (No. 216)
Inequivalent atoms, fractional coordinates:
1 U 0.0000 0.0000 0.0000 [4 per cell]  4 Cu 2.80, 4 Pd 2.80
2 Cu 0.2500 0.2500 0.2500 [4 per cell]  4 U 2.80
3 Pd 0.2500 0.2500 0.7500 [4 per cell]  4 U 2.80

Calculated values
DFT total energy = -18.482 eV per formula unit
volume = 22.55 Å³ per atom
mass density = 10.01 Mg/m³
size of the total moment = 0.890 μB per atom
formation energy = 569 meV per atom



## BaAgPb2 (PBE)

Data for a geometry-optimized BaAgPb2 structure.

a b c (Å): 7.9481 7.9481 7.9481
angles (deg): 90.00 90.00 90.00
Last column: nearest neighbours and their distance in Å.
Space group F-43m (No. 216)
Inequivalent atoms, fractional coordinates:
1 Ba 0.0000 0.0000 0.0000 [4 per cell]  4 Pb 3.44, 4 Ag 3.44
2 Ag 0.2500 0.2500 0.2500 [4 per cell]  4 Ba 3.44, 4 Pb 3.44
3 Pb 0.0000 0.0000 0.5000 [4 per cell]  4 Ag 3.44, 4 Pb 3.44
4 Pb 0.2500 0.2500 0.7500 [4 per cell]  4 Ba 3.44, 4 Pb 3.44

Calculated values
DFT total energy = -12.966 eV per formula unit
volume = 31.38 Å³ per atom
mass density = 8.73 Mg/m³



## TmScAs (PBE)

Data for a geometry-optimized TmScAs structure.

a b c (Å): 6.5350 6.5350 6.5350
angles (deg): 90.00 90.00 90.00
Last column: nearest neighbours and their distance in Å.
Space group F-43m (No. 216)
Inequivalent atoms, fractional coordinates:
1 Tm 0.0000 0.0000 0.0000 [4 per cell]  4 As 2.83
2 Sc 0.0000 0.0000 0.5000 [4 per cell]  4 As 2.83
3 As 0.2500 0.2500 0.7500 [4 per cell]  4 Tm 2.83, 4 Sc 2.83

Calculated values
DFT total energy = -17.623 eV per formula unit
volume = 23.26 Å³ per atom
mass density = 6.87 Mg/m³
size of the total moment = 0.029 μB per atom



## ZnCoReHg (PBE)

Data for a geometry-optimized ZnCoReHg structure.

a b c (Å): 6.2534 6.2534 6.2534
angles (deg): 90.00 90.00 90.00
Last column: nearest neighbours and their distance in Å.
Space group F-43m (No. 216)
Inequivalent atoms, fractional coordinates:
1 Zn 0.0000 0.0000 0.0000 [4 per cell]  4 Hg 2.71, 4 Co 2.71
2 Co 0.2500 0.2500 0.2500 [4 per cell]  4 Zn 2.71, 4 Re 2.71
3 Re 0.0000 0.0000 0.5000 [4 per cell]  4 Co 2.71, 4 Hg 2.71
4 Hg 0.2500 0.2500 0.7500 [4 per cell]  4 Re 2.71, 4 Zn 2.71

Calculated values
DFT total energy = -18.116 eV per formula unit
volume = 15.28 Å³ per atom
mass density = 13.88 Mg/m³
size of the total moment = 0.499 μB per atom
formation energy = 744 meV per atom



## Er5Sn3C (PBE)

Data for a geometry-optimized Er5Sn3C structure.

a b c (Å): 8.8963 8.8963 6.4563
angles (deg): 90.00 90.00 120.00
Last column: nearest neighbours and their distance in Å.
Space group P6_3/mcm (No. 193)
Inequivalent atoms, fractional coordinates:
1 Er 0.0000 0.2119 0.2500 [6 per cell]  2 C 2.48
2 Er 0.3333 0.6667 0.0000 [4 per cell]  6 Sn 3.14, 2 Er 3.23
3 Sn 0.0000 0.4083 0.7500 [6 per cell]  7 Er 3.14-3.38
4 C 0.0000 0.0000 0.0000 [2 per cell]  6 Er 2.48

Calculated values
DFT total energy = -50.193 eV per formula unit
volume = 24.58 Å³ per atom
mass density = 9.04 Mg/m³
size of the total moment = 0.001 μB per atom



## KPPtO (PBE)

Data for a geometry-optimized KPPtO structure.

a b c (Å): 3.7611 3.7611 8.7832
angles (deg): 90.00 90.00 90.00
Last column: nearest neighbours and their distance in Å.
Space group P4/nmm (No. 129, origin choice 2)
Inequivalent atoms, fractional coordinates:
1 K 0.2500 0.7500 0.0000 [2 per cell]  4 K 2.66
2 P 0.2500 0.2500 0.2703 [2 per cell]  4 O 2.76, 4 Pt 2.76, 4 K 3.03
3 Pt 0.2500 0.2500 0.6451 [2 per cell]  4 O 2.27
4 O 0.2500 0.7500 0.5000 [2 per cell]  4 Pt 2.27

Calculated values
DFT total energy = -15.319 eV per formula unit
volume = 15.53 Å³ per atom
mass density = 7.52 Mg/m³
size of the total moment = 0.002 μB per atom